Record 1
12
Lattice="-0.7433 2.1376 4.0190 4.7878 -5.6038 3.8661 7.2946 5.2402 -1.4380" Properties=species:S:1:pos:R:3 comment="Na2CeHgSb2 PBE optimized geometry" formation_energy_uncorrected_ev_per_atom=-0.49 pbc="T T T"
Sb 4.9049 -3.4782 2.7572
Na 2.9570 -1.2042 1.1874
Na 8.9918 2.8145 2.8128
Hg 4.7839 -0.8503 3.9838
Hg 5.3271 4.0616 1.4717
Ce 6.2247 0.0744 1.1117
Sb 7.6528 0.1005 4.0087
Ce 8.1198 -3.0858 3.1431
Sb 7.4096 2.8427 -0.1415
Na 0.4395 1.1924 2.0938
Sb 3.6338 1.7349 2.3960
Na 10.2558 -0.4825 2.1535



Record 2
4
Lattice="5.1393 0.0000 0.0000 2.5696 4.4507 0.0000 2.5696 1.4836 4.1962" Properties=species:S:1:pos:R:3 comment="NaCeSiHg PBE optimized geometry" formation_energy_uncorrected_ev_per_atom=-0.23 pbc="T T T"
Ce 0.0000 0.0000 0.0000
Hg 2.5696 1.4836 1.0490
Si 7.7089 4.4507 3.1471
Na 5.1393 2.9672 2.0981



Record 3
4
Lattice="-0.9151 -1.0732 5.1641 3.5084 -2.9286 2.7877 3.0011 2.3062 3.7858" Properties=species:S:1:pos:R:3 comment="NaCeSnHg PBE optimized geometry" e_form_ev_per_atom=-0.38 pbc="T T T"
Sn 1.3986 -0.4239 2.9344
Na 0.0000 0.0000 0.0000
Ce 2.7972 -0.8478 5.8688
Hg 4.1958 -1.2718 8.8032



Record 4
4
Lattice="5.3491 0.0000 0.0000 2.6746 4.6325 0.0000 2.6746 1.5442 4.3676" Properties=species:S:1:pos:R:3 comment="NaCeTlHg PBE optimized geometry" e_form_ev_per_atom=-0.23 pbc="T T T"
Ce 8.0237 4.6325 3.2757
Hg 5.3491 3.0883 2.1838
Tl 0.0000 0.0000 0.0000
Na 2.6746 1.5442 1.0919



Record 5
8
Lattice="5.2470 0.0000 0.0000 2.6235 4.5440 0.0000 2.6235 1.5147 8.7811" Properties=species:S:1:pos:R:3 comment="NaCeY2Hg4 PBE optimized geometry" e_form_ev_per_atom=-0.37 pbc="T T T"
Y 7.8704 4.5440 6.4627
Ce 0.0000 0.0000 0.0000
Hg 2.6235 1.5147 5.4919
Hg 5.2470 3.0293 7.6038
Na 5.2470 3.0293 4.3905
Hg 5.2470 3.0293 1.1773
Hg 7.8704 4.5440 3.2892
Y 2.6235 1.5147 2.3183



Record 6
4
Lattice="-4.1720 1.4734 -2.6958 -0.2473 -0.9114 -5.0943 -3.2860 -3.5588 -1.8384" Properties=species:S:1:pos:R:3 comment="NaCeZnHg PBE optimized geometry" e_form_ev_per_atom=-0.14 pbc="T T T"
Na -1.9263 -0.7492 -2.4071
Zn 0.0000 0.0000 0.0000
Hg -3.8526 -1.4984 -4.8142
Ce -5.7790 -2.2476 -7.2213



Record 7
4
Lattice="-0.6572 -1.0491 -2.8136 2.9355 0.3824 -0.8282 2.0600 -9.3248 2.9959" Properties=species:S:1:pos:R:3 comment="Ce2NbHg PBE optimized geometry" e_form_ev_per_atom=0.01 polymorph_energy_mev_per_atom=0.0 pbc="T T T"
Ce 1.5590 -7.0572 2.2673
Hg 2.1691 -4.9958 -0.3230
Ce 0.5010 -2.2677 0.7286
Nb 1.1392 -0.3334 -1.8209



Record 8
4
Lattice="3.0824 0.0000 0.0000 1.5412 2.6695 0.0000 1.5412 0.8898 11.4658" Properties=species:S:1:pos:R:3 comment="Ce2NbHg PBE optimized geometry" e_form_ev_per_atom=0.26 polymorph_energy_mev_per_atom=246.2 pbc="T T T"
Nb 0.0000 0.0000 0.0000
Ce 1.5412 0.8898 8.6303
Ce 4.6237 2.6695 2.8355
Hg 3.0824 1.7796 5.7329



Record 9
18
Lattice="8.4522 0.0000 0.0000 0.0000 7.8003 0.0000 0.0000 -3.9002 8.1716" Properties=species:S:1:pos:R:3 comment="Ce2Nd2Hg5 PBE optimized geometry" e_form_ev_per_atom=-0.25 pbc="T T T"
Hg 2.8868 2.7702 5.9003
Nd 2.8927 1.1266 0.0000
Hg 5.5654 1.1300 2.2712
Hg 1.3393 -1.1300 5.9003
Hg 5.5654 -2.7702 5.9003
Nd 5.5595 6.6737 0.0000
Ce 0.0000 0.0000 3.2502
Hg 1.3393 2.7702 2.2712
Hg 7.1129 5.0301 2.2712
Hg 2.8868 6.6704 2.2712
Ce 4.2261 0.0000 4.9214
Ce 0.0000 3.9002 4.9214
Hg 7.1129 1.1300 5.9003
Hg 4.2261 3.9002 0.0000
Nd 1.3334 5.0268 0.0000
Ce 4.2261 3.9002 3.2502
Nd 7.1188 2.7735 0.0000
Hg 0.0000 0.0000 0.0000



Record 10
12
Lattice="-1.1453 -1.3780 -2.8707 1.7781 -5.1870 1.7806 -16.3482 -0.1384 6.5889" Properties=species:S:1:pos:R:3 comment="Ce3Nd2Hg7 PBE optimized geometry" e_form_ev_per_atom=0.05 pbc="T T T"
Hg -5.8126 -1.0272 2.8122
Hg -8.8326 -2.1487 2.5608
Hg -10.6355 -1.8795 5.1455
Nd -11.7455 -4.8263 7.0029
Hg -3.9346 -3.4460 3.2240
Hg -8.7575 -4.2983 5.5573
Ce 0.3164 -3.2825 -0.5450
Hg 0.0000 0.0000 0.0000
Hg -6.8828 -4.5548 2.9380
Ce -13.6136 -2.9936 4.8739
Nd -2.8246 -0.4992 1.3666
Ce -2.1018 -3.7099 0.6249



Record 11
22
Lattice="3.5211 0.0000 0.0000 -1.7606 12.0901 0.0000 0.0000 0.0000 14.4231" Properties=species:S:1:pos:R:3 comment="Ce3NdHg7 PBE optimized geometry" e_form_ev_per_atom=-0.25 pbc="T T T"
Ce 1.7606 9.9954 13.3248
Hg 0.0000 8.2207 5.7151
Hg 0.0000 8.2207 1.4964
Hg 1.7606 6.9023 13.4002
Ce 0.0000 2.0947 6.1133
Hg 0.0000 11.3637 1.2668
Nd 0.0000 2.0125 10.8173
Hg 1.7606 0.7264 8.4784
Ce 1.7606 6.0976 3.6058
Hg 1.7606 6.9023 8.2344
Ce 0.0000 5.9925 10.8173
Ce 0.0000 2.0947 1.0982
Nd 1.7606 10.0776 3.6058
Hg 0.0000 11.3637 5.9447
Hg 1.7606 3.8694 8.7080
Hg 0.0000 5.1878 1.0228
Hg 1.7606 0.7264 13.1562
Hg 1.7606 1.1594 3.6058
Hg 1.7606 3.8694 12.9266
Hg 0.0000 10.9307 10.8173
Hg 0.0000 5.1878 6.1887
Ce 1.7606 9.9954 8.3098



Record 12
18
Lattice="-0.9931 0.7942 6.8848 -3.5601 -8.7032 0.4905 9.2403 1.3799 1.1738" Properties=species:S:1:pos:R:3 comment="CeNd5Hg3 PBE optimized geometry" e_form_ev_per_atom=-0.25 pbc="T T T"
Hg 3.4947 -4.6268 2.8178
Nd -1.3050 -7.6593 6.0351
Nd -2.6526 -5.6791 2.0524
Hg 5.3438 1.5047 5.9370
Nd 5.9920 1.1303 2.5139
Hg 1.1924 -1.9023 5.7312
Ce 0.0000 0.0000 0.0000
Hg -3.0906 -5.1387 5.4867
Nd 4.4767 -1.5839 4.3883
Nd 1.5957 -2.1792 2.2615
Nd 4.9733 -1.9810 0.9459
Nd -1.9007 -2.2298 5.3228
Nd 3.0913 -4.3499 6.2875
Nd 0.2104 -4.9451 4.1607
Ce -0.4966 0.3971 3.4424
Hg -1.4627 -2.7702 1.8885
Hg -0.6567 -8.0338 2.6120
Nd 0.7069 -5.3422 0.7183